(1)
La2SmZn9 | PBE | relaxed

## Properties
spin magnetization	0.000	Bohr magnetons per cell

a = 5.5402 Å, b = 5.5402 Å, c = 9.4075 Å
α = 72.88°, β = 72.88°, γ = 60.00°
Sites, in units of the cell vectors:
Zn 0.0765 0.5808 0.7619
Zn 0.4192 0.4192 0.2381
Zn 0.5000 0.5000 0.5000
Zn 0.5808 0.5808 0.7619
Zn 0.3349 0.3349 0.9954
Zn 0.5808 0.0765 0.7619
Zn 0.6651 0.6651 0.0046
Zn 0.9235 0.4192 0.2381
Zn 0.4192 0.9235 0.2381
La 0.8568 0.8568 0.4295
La 0.1432 0.1432 0.5705
Sm 0.0000 0.0000 0.0000

(2)
LaSmZn3 | PBE | relaxed

## Properties
spin magnetization	0.003	Bohr magnetons per cell

a = 3.6519 Å, b = 4.6416 Å, c = 14.0259 Å
α = 90.00°, β = 97.48°, γ = 90.00°
Sites, in units of the cell vectors:
Zn 0.6199 0.7500 0.2398
Zn 0.5236 0.7500 0.0471
Zn 0.4764 0.2500 0.9529
Zn 0.3801 0.2500 0.7602
Zn 0.3268 0.7500 0.6536
Zn 0.6732 0.2500 0.3464
La 0.9270 0.7500 0.8540
La 0.0730 0.2500 0.1460
Sm 0.7914 0.2500 0.5827
Sm 0.2086 0.7500 0.4173

(3)
LaSmZn4 | PBE | relaxed

## Properties
spin magnetization	0.000	Bohr magnetons per cell
ΔE to the lowest computed polymorph	0.099	eV per formula unit

a = 5.5966 Å, b = 5.5966 Å, c = 5.5966 Å
α = 60.00°, β = 60.00°, γ = 60.00°
Sites, in units of the cell vectors:
La 0.2500 0.2500 0.2500
Zn 0.6256 0.6256 0.6256
Zn 0.6256 0.1232 0.6256
Zn 0.6256 0.6256 0.1232
Zn 0.1232 0.6256 0.6256
Sm 0.0000 0.0000 0.0000

(4)
La2SmZn4 | PBE | relaxed

## Properties
spin magnetization	0.000	Bohr magnetons per cell

a = 5.1298 Å, b = 5.1298 Å, c = 9.0208 Å
α = 73.48°, β = 73.48°, γ = 60.00°
Sites, in units of the cell vectors:
Zn 0.6272 0.6272 0.1185
Zn 0.8773 0.8773 0.3681
Zn 0.1227 0.1227 0.6319
Zn 0.3728 0.3728 0.8815
La 0.2444 0.2444 0.2667
La 0.7556 0.7556 0.7333
Sm 0.0000 0.0000 0.0000

(5)
La8SmZn2 | PBE | relaxed

## Properties
spin magnetization	0.000	Bohr magnetons per cell

a = 5.4542 Å, b = 8.5488 Å, c = 8.9860 Å
α = 113.42°, β = 107.67°, γ = 90.00°
Sites, in units of the cell vectors:
La 0.1539 0.2192 0.3079
La 0.9461 0.2613 0.8921
La 0.8461 0.7808 0.6921
La 0.6906 0.9669 0.3812
La 0.3094 0.0331 0.6188
La 0.3880 0.5242 0.7760
La 0.0539 0.7387 0.1079
La 0.6120 0.4758 0.2240
Zn 0.2197 0.6316 0.4394
Zn 0.7803 0.3684 0.5606
Sm 0.5000 0.0000 0.0000

(6)
La3Sm4Zn | PBE | relaxed

## Properties
spin magnetization	0.000	Bohr magnetons per cell

a = 3.6800 Å, b = 3.6800 Å, c = 19.2546 Å
α = 90.00°, β = 90.00°, γ = 90.00°
Sites, in units of the cell vectors:
La 0.5000 0.5000 0.5000
La 0.5000 0.5000 0.2295
La 0.5000 0.5000 0.7705
Sm 0.0000 0.0000 0.9072
Sm 0.0000 0.0000 0.3652
Sm 0.0000 0.0000 0.6348
Sm 0.0000 0.0000 0.0928
Zn 0.5000 0.5000 0.0000

Record order is preserved below.
V: 19.6, 23.6, 20.7, 27.7, 33.0, 32.6 Å³/atom
Record order is preserved below.
E_form: -0.2932, -0.3194, -0.3307, -0.0920, -0.0670, -0.0669 eV/atom
Record order is preserved below.
E: -29.6, -30.1, -16.7, -20.3, -47.4, -35.5 eV for the cell shown